# 1
An optimized crystal structure of CsZn3Ru, computed with PBE.

Results
The total energy is -12.94 eV/cell. The value obtained for the energy relative to the elements is 0.20 eV per atom. The symmetry is No. 221.

Cell lengths 5.030, 5.030, 5.030 Å; angles 90.00, 90.00, 90.00 degrees
Sites, in units of the cell vectors:
Cs1 0.500 0.500 0.500
Zn1 0.500 0.000 0.000
Zn2 0.000 0.500 0.000
Zn3 0.000 0.000 0.500
Ru1 0.000 0.000 0.000

# 2
An optimized crystal structure of MgCu2Si, computed with PBE.

Results
The total energy is -14.91 eV/cell. As for the energy relative to the elements, uncorrected: 0.0746 eV per atom. The symmetry is No. 216.

Cell lengths 4.307, 4.307, 4.307 Å; angles 60.00, 60.00, 60.00 degrees
Sites, in units of the cell vectors:
Cu1 0.250 0.250 0.250
Cu2 0.000 0.000 0.000
Si1 0.750 0.750 0.750
Mg1 0.500 0.500 0.500

# 3
An optimized crystal structure of CsErHgI6, computed with PBE.

Results
The total energy is -24.38 eV/cell. As for the energy relative to the elements, uncorrected: -1.0402 eV per atom. The symmetry is No. 1.

Cell lengths 8.277, 8.272, 8.395 Å; angles 93.26, 86.66, 55.69 degrees
Sites, in units of the cell vectors:
Er1 0.657 0.658 0.499
I1 0.342 0.673 0.324
I2 0.963 0.428 0.228
I3 0.429 0.965 0.771
I4 0.671 0.344 0.678
I5 0.587 0.000 0.303
I6 0.999 0.587 0.696
Hg1 0.357 0.355 0.502
Cs1 0.995 0.989 0.999

# 4
An optimized crystal structure of CaMoPb2, computed with PBE.

Results
The total energy is -19.09 eV/cell. The calculation puts the polymorph energy (0 for the lowest one) at 33 kJ/mol of formula units. The value obtained for the energy relative to the elements is 0.29 eV per atom. The symmetry is No. 166.

Cell lengths 9.337, 9.337, 9.337 Å; angles 22.25, 22.25, 22.25 degrees
Site moments in Bohr magnetons follow the coordinates.
Sites, in units of the cell vectors:
Mo1 0.250 0.250 0.250  0.31
Ca1 0.750 0.750 0.750  0.00
Pb1 0.510 0.510 0.510  -0.01
Pb2 0.990 0.990 0.990  -0.01

# 5
An optimized crystal structure of MnTl2Br, computed with PBE.

Results
The total energy is -14.75 eV/cell. The calculation puts the polymorph energy (0 for the lowest one) at 85 kJ/mol of formula units. As for the energy relative to the elements, uncorrected: 0.2051 eV per atom. The symmetry is No. 166.

Cell lengths 9.378, 9.378, 9.378 Å; angles 22.88, 22.88, 22.88 degrees
Site moments in Bohr magnetons follow the coordinates.
Sites, in units of the cell vectors:
Br1 0.250 0.250 0.250  0.01
Tl1 0.004 0.004 0.004  0.02
Tl2 0.496 0.496 0.496  0.02
Mn1 0.750 0.750 0.750  4.12

# 6
An optimized crystal structure of SmEr4Tm2Sc, computed with PBE.

Results
The total energy is -75.94 eV/cell. The value obtained for the energy relative to the elements is 0.03 eV per atom. The symmetry is No. 10.

Cell lengths 6.966, 12.063, 12.061 Å; angles 131.81, 125.29, 89.92 degrees
Sites, in units of the cell vectors:
Tm1 0.500 0.500 0.000
Tm2 0.000 0.000 0.500
Tm3 0.500 0.000 0.000
Tm4 0.500 0.000 0.500
Er1 0.251 0.748 0.999
Er2 0.747 0.748 0.496
Er3 0.749 0.252 0.001
Er4 0.755 0.252 0.504
Er5 0.253 0.252 0.504
Er6 0.245 0.748 0.496
Er7 0.748 0.748 0.000
Er8 0.252 0.252 0.000
Sc1 0.000 0.500 0.000
Sc2 0.000 0.500 0.500
Sm1 0.500 0.500 0.500
Sm2 0.000 0.000 0.000

Which of these has the highest total energy? CsZn3Ru

What is the formula in the fifth record? MnTl2Br

What is the total energy in the fourth record? -19.09 eV/cell

Which formula does entry 6 have? SmEr4Tm2Sc